# 1
Here is a geometry-optimized Ta2GeRh8 structure from Alexandria via LeMat-Bulk. Energies are from PBE-GGA.

Geometry as extended XYZ:
```
11
Lattice="4.377 0.000 0.000 0.000 5.698 -0.180 -2.188 -2.639 6.811" Properties=species:S:1:pos:R:3 pbc="T T T"
Rh 0.000 0.075 2.432
Rh 0.000 1.513 4.809
Ta 0.000 2.930 2.488
Rh 2.188 2.985 4.199
Rh 0.000 1.495 -0.047
Rh 2.188 1.565 6.678
Ge 2.188 0.000 0.000
Ta 2.188 0.130 4.143
Rh 0.000 -1.208 4.896
Rh 2.188 4.267 1.735
Rh 2.188 1.546 1.822
```

Its total magnetization is 0.000 μB per formula unit. The value obtained for the formation enthalpy at 0 K is -413 meV/atom. As for the space-group type: No. 71. The value obtained for the calculated volume is 167.8 Å³ per cell. The density of states at the Fermi level comes out at 10.75 states/eV/cell.

# 2
Here is a geometry-optimized TaGeRh3 structure from Alexandria via LeMat-Bulk. Energies are from PBE-GGA.

Geometry as extended XYZ:
```
5
Lattice="-2.544 -3.163 2.445 3.997 -1.957 1.626 -0.076 2.935 3.719" Properties=species:S:1:pos:R:3 pbc="T T T"
Ta 0.000 0.000 0.000
Ge 0.689 -1.092 3.895
Rh -1.272 -1.581 1.222
Rh 1.998 -0.979 0.813
Rh -0.038 1.468 1.859
```

Its total magnetization is 0.000 μB per formula unit. The value obtained for the formation enthalpy at 0 K is 900 meV/atom. As for the space-group type: No. 221. The value obtained for the calculated volume is 106.4 Å³ per cell. The density of states at the Fermi level comes out at 4.62 states/eV/cell. Its energy above the most stable polymorph in this dataset is 0.293 eV/atom.

# 3
Here is a geometry-optimized TaGe3Rh structure from Alexandria via LeMat-Bulk. Energies are from PBE-GGA.

Geometry as extended XYZ:
```
5
Lattice="4.700 0.000 0.000 0.000 4.700 0.000 0.000 0.000 4.700" Properties=species:S:1:pos:R:3 pbc="T T T"
Ge 2.350 0.000 0.000
Ta 2.350 2.350 2.350
Ge 0.000 2.350 0.000
Ge 0.000 0.000 2.350
Rh 0.000 0.000 0.000
```

Its total magnetization is 0.001 μB per formula unit. The value obtained for the formation enthalpy at 0 K is 882 meV/atom. As for the space-group type: No. 221. The value obtained for the calculated volume is 103.8 Å³ per cell. The density of states at the Fermi level comes out at 6.72 states/eV/cell. Its energy above the most stable polymorph in this dataset is 0.000 eV/atom.

# 4
Here is a geometry-optimized Ta3GeRh structure from Alexandria via LeMat-Bulk. Energies are from PBE-GGA.

Geometry as extended XYZ:
```
5
Lattice="4.668 0.000 0.000 0.000 4.668 0.000 0.000 0.000 4.668" Properties=species:S:1:pos:R:3 pbc="T T T"
Ge 0.000 0.000 0.000
Rh 2.334 2.334 2.334
Ta 0.000 0.000 2.334
Ta 0.000 2.334 0.000
Ta 2.334 0.000 0.000
```

Its total magnetization is 0.000 μB per formula unit. The value obtained for the formation enthalpy at 0 K is 1105 meV/atom. As for the space-group type: No. 221. The value obtained for the calculated volume is 101.7 Å³ per cell. The density of states at the Fermi level comes out at 3.47 states/eV/cell. Its energy above the most stable polymorph in this dataset is 0.006 eV/atom.

# 5
Here is a geometry-optimized Ta2Ge2Rh structure from Alexandria via LeMat-Bulk. Energies are from PBE-GGA.

Geometry as extended XYZ:
```
10
Lattice="6.446 0.000 0.000 0.000 6.446 0.000 0.000 0.000 3.877" Properties=species:S:1:pos:R:3 pbc="T T T"
Ta 5.364 2.140 1.938
Ta 2.140 1.083 1.938
Ge 2.342 5.565 0.000
Ge 5.565 4.105 0.000
Rh 0.000 0.000 0.000
Ge 0.882 2.342 0.000
Rh 3.223 3.223 0.000
Ge 4.105 0.882 0.000
Ta 1.083 4.306 1.938
Ta 4.306 5.364 1.938
```

Its total magnetization is 0.000 μB per formula unit. The value obtained for the formation enthalpy at 0 K is -259 meV/atom. As for the space-group type: No. 127. The value obtained for the calculated volume is 161.1 Å³ per cell. The density of states at the Fermi level comes out at 6.85 states/eV/cell.

# 6
Here is a geometry-optimized TaGeRh3 structure from Alexandria via LeMat-Bulk. Energies are from PBE-GGA.

Geometry as extended XYZ:
```
5
Lattice="-3.190 3.113 -0.244 -2.540 -2.790 -2.386 -1.817 -1.566 3.765" Properties=species:S:1:pos:R:3 pbc="T T T"
Rh -0.908 -0.783 1.882
Ge 0.000 0.000 0.000
Rh -1.595 1.557 -0.122
Ta -3.773 -0.621 0.567
Rh -1.270 -1.395 -1.193
```

Its total magnetization is 0.000 μB per formula unit. The value obtained for the formation enthalpy at 0 K is 607 meV/atom. As for the space-group type: No. 221. The value obtained for the calculated volume is 89.0 Å³ per cell. The density of states at the Fermi level comes out at 20.38 states/eV/cell. Its energy above the most stable polymorph in this dataset is 0.000 eV/atom.

# 7
Here is a geometry-optimized TaGe2Rh structure from Alexandria via LeMat-Bulk. Energies are from PBE-GGA.

Geometry as extended XYZ:
```
8
Lattice="3.936 0.000 0.000 0.000 3.936 0.000 1.968 1.968 8.999" Properties=species:S:1:pos:R:3 pbc="T T T"
Rh 1.968 1.968 0.000
Ge 4.920 4.851 6.750
Ta 0.000 0.000 0.000
Rh 1.968 3.936 4.500
Ta 3.936 1.968 4.500
Ge 2.883 0.984 2.250
Ge 2.952 3.021 6.750
Ge 1.053 2.952 2.250
```

Its total magnetization is 0.000 μB per formula unit. The value obtained for the formation enthalpy at 0 K is 37 meV/atom. As for the space-group type: No. 122. The value obtained for the calculated volume is 139.4 Å³ per cell. The density of states at the Fermi level comes out at 5.60 states/eV/cell.

# 8
Here is a geometry-optimized Ta2GeRh5 structure from Alexandria via LeMat-Bulk. Energies are from PBE-GGA.

Geometry as extended XYZ:
```
16
Lattice="-0.420 0.630 -3.946 -5.496 0.040 0.591 0.257 10.681 1.677" Properties=species:S:1:pos:R:3 pbc="T T T"
Rh -3.768 9.882 -0.068
Rh -1.094 6.804 -0.843
Ta -3.767 7.206 -0.495
Rh -2.192 8.078 1.522
Rh 0.000 0.000 0.000
Ge 0.129 5.340 0.838
Rh -0.296 2.723 0.466
Ta -1.892 4.144 -1.183
Ge -2.748 0.020 0.296
Rh -1.890 1.468 -1.610
Rh -4.565 4.546 -0.834
Rh -4.943 7.997 1.802
Rh -3.046 2.642 0.746
Ta -0.964 9.479 -0.430
Ta -4.695 1.871 -1.247
Rh -2.619 5.360 1.134
```

Its total magnetization is 0.000 μB per formula unit. The value obtained for the formation enthalpy at 0 K is -593 meV/atom. As for the space-group type: No. 55. The value obtained for the calculated volume is 240.2 Å³ per cell. The density of states at the Fermi level comes out at 8.52 states/eV/cell.